Record 1
First-principles (PBEsol) data for crystalline Sr2CdIn at its relaxed geometry, as listed in Alexandria.

Values from the calculation:
Offset from the most stable computed form, eV/f.u.: 0.00
Crystal system: cubic
Space group: Fm-3m
Spin magnetization, μB per formula unit: 0.00

```
Sr2CdIn
1.0
0.000 3.985 3.985
3.985 0.000 3.985
3.985 3.985 0.000
Sr Cd In
2 1 1
direct
0.250 0.250 0.250 Sr
0.750 0.750 0.750 Sr
0.000 0.000 0.000 Cd
0.500 0.500 0.500 In
```

***

Record 2
First-principles (PBEsol) data for crystalline SrCd2In at its relaxed geometry, as listed in Alexandria.

Values from the calculation:
Crystal system: trigonal
Space group: R3m
Spin magnetization, μB per formula unit: 0.00

```
SrCd2In
1.0
2.408 1.390 5.531
-2.408 1.390 5.531
0.000 -2.781 5.531
Sr Cd In
1 2 1
direct
0.000 0.000 0.000 Sr
0.489 0.489 0.489 Cd
0.786 0.786 0.786 Cd
0.218 0.218 0.218 In
```

***

Record 3
First-principles (PBEsol) data for crystalline SrCdIn2 at its relaxed geometry, as listed in Alexandria.

Values from the calculation:
Crystal system: tetragonal
Space group: P4/mmm
Spin magnetization, μB per formula unit: 0.00

```
SrCdIn2
1.0
4.712 0.000 0.000
0.000 4.712 0.000
0.000 0.000 4.763
Sr Cd In
1 1 2
direct
0.000 0.000 0.000 Sr
0.500 0.500 0.000 Cd
0.000 0.500 0.500 In
0.500 0.000 0.500 In
```

***

Which energy relative to the elements belongs to each record? In order, -398, -253, -282 meV per atom.
Which E belongs to each record? In order, -2.363, -2.057, -2.533 eV/atom.